DFT (PBE-GGA) results for crystalline CoPd3Pt at its relaxed geometry.

Calculated values
Distance to the lowest polymorph of the same formula, meV/atom: 115
Total magnetic moment, μB per cell: 13.8
Formation energy from the elements, eV/atom: 0.200

Lattice parameters (Å, degrees): 7.8026 7.9756 5.4932 90.00 110.94 90.00
Last column: nearest neighbours and their distance in Å.
Space group C2/m (No. 12)
One atom of each set of equivalent atoms:
1 Co 0.2354 0.0000 0.4958  2 Pt 2.45, 6 Pd 2.52-2.53
2 Pd 0.0702 0.5000 0.7876  2 Co 2.53, 4 Pd 2.77-2.81, 1 Pt 2.82
3 Pd 0.1753 0.2515 0.2008  2 Co 2.52, 2 Pt 2.77-2.81, 2 Pd 2.77-2.81
4 Pt 0.0811 0.0000 0.8133  2 Co 2.45